Record 1
Density functional theory data (GGA-PBE) for an optimized crystal structure of LiSm2Co3Ni12.

Geometry as POSCAR:
```
LiSm2Co3Ni12
1.0
4.125 2.382 3.992
-4.125 2.382 3.992
0.000 -4.763 3.992
Li Sm Co Ni
1 2 3 12
Direct
0.000 0.000 0.000
0.273 0.273 0.273
0.727 0.727 0.727
0.000 0.000 0.500
0.000 0.500 0.000
0.500 0.000 0.000
0.150 0.580 0.580
0.196 0.196 0.733
0.196 0.733 0.196
0.267 0.804 0.804
0.420 0.420 0.850
0.420 0.850 0.420
0.580 0.150 0.580
0.580 0.580 0.150
0.733 0.196 0.196
0.804 0.267 0.804
0.804 0.804 0.267
0.850 0.420 0.420
```

Size of the total moment in μB/atom: 0.4652
Formation energy in meV/atom: 93
DFT total energy in eV per atom: -5.58
Crystal system: trigonal
Density of states at the Fermi level in states/eV per cell: 23.46

=====

Record 2
Density functional theory data (GGA-PBE) for an optimized crystal structure of NaBi2AsPt.

Geometry as POSCAR:
```
NaBi2AsPt
1.0
5.340 0.000 0.000
0.000 5.340 0.000
0.000 0.000 4.830
Na Bi As Pt
1 2 1 1
Direct
0.000 0.000 0.000
0.000 0.500 0.000
0.500 0.000 0.000
0.000 0.000 0.500
0.500 0.500 0.500
```

Size of the total moment in μB/atom: 0.0000
Formation energy in meV/atom: 1045
DFT total energy in eV per atom: -2.91
Crystal system: tetragonal
Density of states at the Fermi level in states/eV per cell: 2.96

=====

Record 3
Density functional theory data (GGA-PBE) for an optimized crystal structure of LaMg3Cd9.

Geometry as POSCAR:
```
LaMg3Cd9
1.0
3.010 -7.052 0.000
3.010 7.052 0.000
-3.007 0.000 7.030
La Mg Cd
1 3 9
Direct
0.000 0.000 0.000
0.000 0.500 0.000
0.500 0.000 0.000
0.500 0.500 0.500
0.000 0.000 0.500
0.002 0.352 0.347
0.290 0.506 0.785
0.352 0.002 0.347
0.494 0.710 0.215
0.506 0.290 0.785
0.648 0.998 0.653
0.710 0.494 0.215
0.998 0.648 0.653
```

Size of the total moment in μB/atom: 0.0000
Formation energy in meV/atom: -189
DFT total energy in eV per atom: -1.57
Crystal system: monoclinic
Density of states at the Fermi level in states/eV per cell: 3.41

=====

Record 4
Density functional theory data (GGA-PBE) for an optimized crystal structure of BaLa2S4.

Geometry as POSCAR:
```
BaLa2S4
1.0
2.120 -6.996 0.000
2.120 6.996 0.000
0.000 0.000 13.977
Ba La S
2 4 8
Direct
0.112 0.888 0.750
0.888 0.112 0.250
0.367 0.633 0.569
0.367 0.633 0.931
0.633 0.367 0.069
0.633 0.367 0.431
0.000 0.000 0.000
0.000 0.000 0.500
0.266 0.734 0.113
0.266 0.734 0.387
0.452 0.548 0.750
0.548 0.452 0.250
0.734 0.266 0.613
0.734 0.266 0.887
```

Size of the total moment in μB/atom: 0.0000
DFT total energy in eV per atom: -6.20
Crystal system: orthorhombic
Density of states at the Fermi level in states/eV per cell: 0.00